#a
This record from Alexandria describes crystalline Ba2CrRu at its relaxed geometry. The functional is PBE-GGA.

Unit cell a=3.572 b=3.572 c=9.595 alpha=90.00 beta=90.00 gamma=90.00
Sites, in units of the cell vectors:
Ba: 0.000 0.000 0.000
Ba: 0.500 0.500 0.416
Cr: 0.000 0.000 0.674
Ru: 0.500 0.500 0.737

Results
**DOS(E_F)**: 1.35 states/eV per atom

=====

#b
This record from Alexandria describes crystalline Ba2CrRu at its relaxed geometry. The functional is PBE-GGA.

Unit cell a=10.274 b=10.274 c=10.274 alpha=21.83 beta=21.83 gamma=21.83
Sites, in units of the cell vectors:
Ba: 0.237 0.237 0.237
Ba: 0.763 0.763 0.763
Cr: 0.000 0.000 0.000
Ru: 0.500 0.500 0.500

Results
**DOS(E_F)**: 1.10 states/eV per atom

=====

#c
This record from Alexandria describes crystalline Ba2CrRu at its relaxed geometry. The functional is PBE-GGA.

Unit cell a=9.888 b=9.888 c=9.888 alpha=159.45 beta=158.07 gamma=30.23
Sites, in units of the cell vectors:
Ba: 0.146 0.146 0.000
Ba: 0.854 0.854 0.000
Cr: 0.500 0.000 0.500
Ru: 0.000 0.500 0.500

Results
**DOS(E_F)**: 1.46 states/eV per atom

=====

The data favor #a; the next most stable structure lies 0.034 eV/atom above it.

=====

#a
This record from Alexandria describes crystalline BaCrRu2 at its relaxed geometry. The functional is PBE-GGA.

Unit cell a=3.079 b=3.079 c=7.900 alpha=90.00 beta=90.00 gamma=90.00
Sites, in units of the cell vectors:
Ba: 0.000 0.000 0.000
Cr: 0.000 0.000 0.500
Ru: 0.500 0.500 0.331
Ru: 0.500 0.500 0.669

Results
**DOS(E_F)**: 1.65 states/eV per atom

=====

#b
This record from Alexandria describes crystalline BaCrRu2 at its relaxed geometry. The functional is PBE-GGA.

Unit cell a=6.463 b=6.463 c=6.463 alpha=38.50 beta=38.50 gamma=38.50
Sites, in units of the cell vectors:
Ba: 0.000 0.000 0.000
Cr: 0.500 0.500 0.500
Ru: 0.190 0.190 0.190
Ru: 0.810 0.810 0.810

Results
**DOS(E_F)**: 0.89 states/eV per atom

=====

#c
This record from Alexandria describes crystalline BaCrRu2 at its relaxed geometry. The functional is PBE-GGA.

Unit cell a=5.603 b=5.603 c=5.603 alpha=147.40 beta=118.96 gamma=70.93
Sites, in units of the cell vectors:
Ba: 0.000 0.000 0.000
Cr: 0.500 0.500 0.000
Ru: 0.309 0.809 0.500
Ru: 0.691 0.191 0.500

Results
**DOS(E_F)**: 1.05 states/eV per atom

=====

#d
This record from Alexandria describes crystalline BaCrRu2 at its relaxed geometry. The functional is PBE-GGA.

Unit cell a=3.065 b=4.291 c=6.685 alpha=90.00 beta=100.95 gamma=90.00
Sites, in units of the cell vectors:
Ba: 0.000 0.000 0.000
Cr: 0.747 0.500 0.383
Ru: 0.304 0.000 0.498
Ru: 0.374 0.500 0.682

Results
**DOS(E_F)**: 1.06 states/eV per atom

=====

The data favor #b; the next most stable structure lies 0.168 eV/atom above it.

=====

#a
This record from Alexandria describes crystalline BaCrRu2 at its relaxed geometry. The functional is PBE-GGA.

Unit cell a=8.415 b=8.415 c=8.415 alpha=144.28 beta=144.28 gamma=51.41
Sites, in units of the cell vectors:
Ba: 0.375 0.625 0.750
Ba: 0.625 0.375 0.250
Cr: 0.125 0.875 0.250
Cr: 0.875 0.125 0.750
Ru: 0.000 0.000 0.000
Ru: 0.000 0.000 0.500
Ru: 0.000 0.500 0.000
Ru: 0.500 0.000 0.500

Results
**DOS(E_F)**: 1.30 states/eV per atom

=====

#b
This record from Alexandria describes crystalline BaCrRu2 at its relaxed geometry. The functional is PBE-GGA.

Unit cell a=4.801 b=4.801 c=4.801 alpha=60.00 beta=60.00 gamma=60.00
Sites, in units of the cell vectors:
Ba: 0.000 0.000 0.000
Cr: 0.750 0.750 0.750
Ru: 0.250 0.250 0.250
Ru: 0.500 0.500 0.500

Results
**DOS(E_F)**: 1.47 states/eV per atom

=====

#c
This record from Alexandria describes crystalline BaCrRu2 at its relaxed geometry. The functional is PBE-GGA.

Unit cell a=3.205 b=3.205 c=7.951 alpha=90.00 beta=90.00 gamma=90.00
Sites, in units of the cell vectors:
Ba: 0.000 0.000 0.000
Cr: 0.500 0.500 0.352
Ru: 0.000 0.000 0.517
Ru: 0.500 0.500 0.685

Results
**DOS(E_F)**: 1.28 states/eV per atom

=====

The data favor #c; the next most stable structure lies 0.136 eV/atom above it.